(1)
PdRu: relaxed, PBE-GGA.

energy of formation	760.5	meV/atom
density	10824	kg/m3
spin magnetization	0.00	μB per formula unit
space-group type	Immm (71)
calculated total energy	-6.474	eV/atom

Cell and atoms, written as CIF:
```
data_PdRu
_chemical_formula_sum 'Pd1 Ru1'
_cell_length_a 3.746
_cell_length_b 3.746
_cell_length_c 3.746
_cell_angle_alpha 139.52
_cell_angle_beta 102.34
_cell_angle_gamma 91.46
_symmetry_space_group_name_H-M 'P 1'
_symmetry_Int_Tables_number 1
loop_
_symmetry_equiv_pos_as_xyz
'x,y,z'
loop_
_atom_site_label
_atom_site_type_symbol
_atom_site_fract_x
_atom_site_fract_y
_atom_site_fract_z
_atom_site_occupancy
Pd1 Pd 0.000 0.000 0.000 1
Ru1 Ru 0.500 0.500 0.000 1
```

(2)
PdRu: relaxed, PBE-GGA.

energy of formation	172.3	meV/atom
density	11826	kg/m3
spin magnetization	0.00	μB per formula unit
space-group type	C2/m (12)
calculated total energy	-7.062	eV/atom

Cell and atoms, written as CIF:
```
data_PdRu
_chemical_formula_sum 'Pd2 Ru2'
_cell_length_a 4.734
_cell_length_b 4.734
_cell_length_c 4.782
_cell_angle_alpha 99.41
_cell_angle_beta 99.41
_cell_angle_gamma 33.50
_symmetry_space_group_name_H-M 'P 1'
_symmetry_Int_Tables_number 1
loop_
_symmetry_equiv_pos_as_xyz
'x,y,z'
loop_
_atom_site_label
_atom_site_type_symbol
_atom_site_fract_x
_atom_site_fract_y
_atom_site_fract_z
_atom_site_occupancy
Pd1 Pd 0.123 0.123 0.378 1
Pd2 Pd 0.877 0.877 0.622 1
Ru1 Ru 0.370 0.370 0.108 1
Ru2 Ru 0.630 0.630 0.892 1
```

(3)
PdRu: relaxed, PBE-GGA.

energy of formation	225.8	meV/atom
density	11770	kg/m3
spin magnetization	0.00	μB per formula unit
space-group type	C2/m (12)
calculated total energy	-7.008	eV/atom

Cell and atoms, written as CIF:
```
data_PdRu
_chemical_formula_sum 'Pd2 Ru2'
_cell_length_a 5.183
_cell_length_b 5.183
_cell_length_c 4.791
_cell_angle_alpha 116.50
_cell_angle_beta 116.50
_cell_angle_gamma 30.88
_symmetry_space_group_name_H-M 'P 1'
_symmetry_Int_Tables_number 1
loop_
_symmetry_equiv_pos_as_xyz
'x,y,z'
loop_
_atom_site_label
_atom_site_type_symbol
_atom_site_fract_x
_atom_site_fract_y
_atom_site_fract_z
_atom_site_occupancy
Pd1 Pd 0.120 0.120 0.443 1
Pd2 Pd 0.880 0.880 0.557 1
Ru1 Ru 0.367 0.367 0.040 1
Ru2 Ru 0.633 0.633 0.960 1
```

(4)
Pd5Ru: relaxed, PBE-GGA.

energy of formation	191.0	meV/atom
density	11387	kg/m3
spin magnetization	1.49	μB per formula unit
space-group type	Cmmm (65)
calculated total energy	-5.682	eV/atom

Cell and atoms, written as CIF:
```
data_Pd5Ru
_chemical_formula_sum 'Pd5 Ru1'
_cell_length_a 7.416
_cell_length_b 7.416
_cell_length_c 2.802
_cell_angle_alpha 90.00
_cell_angle_beta 90.00
_cell_angle_gamma 143.19
_symmetry_space_group_name_H-M 'P 1'
_symmetry_Int_Tables_number 1
loop_
_symmetry_equiv_pos_as_xyz
'x,y,z'
loop_
_atom_site_label
_atom_site_type_symbol
_atom_site_fract_x
_atom_site_fract_y
_atom_site_fract_z
_atom_site_occupancy
Pd1 Pd 0.000 0.000 0.000 1
Pd2 Pd 0.171 0.829 0.500 1
Pd3 Pd 0.340 0.660 0.000 1
Pd4 Pd 0.660 0.340 0.000 1
Pd5 Pd 0.829 0.171 0.500 1
Ru1 Ru 0.500 0.500 0.500 1
```